1.
## Sr6Ca2Tl (PBE-GGA)

Data for a relaxed structure of Sr6Ca2Tl.

The structure in CIF format:
```
data_Sr6Ca2Tl
_symmetry_space_group_name_H-M 'P 1'
_symmetry_Int_Tables_number 1
_cell_length_a 4.0382
_cell_length_b 11.5548
_cell_length_c 11.0032
_cell_angle_alpha 121.67
_cell_angle_beta 100.54
_cell_angle_gamma 90.00
loop_
_symmetry_equiv_pos_as_xyz
'x,y,z'
loop_
_atom_site_label
_atom_site_fract_x
_atom_site_fract_y
_atom_site_fract_z
Sr1 0.1733 0.3326 0.3460
Ca1 0.1515 0.6513 0.3025
Sr2 0.5000 0.7167 0.0000
Sr3 0.8267 0.9866 0.6540
Sr4 0.1733 0.0134 0.3460
Tl1 0.0000 0.0000 0.0000
Sr5 0.5000 0.2833 0.0000
Sr6 0.8267 0.6674 0.6540
Ca2 0.8485 0.3487 0.6975
```

Values from the calculation:
Relative energy among the computed polymorphs ... 54 meV per atom
Theoretical density ... 3.2 g/cm3
ΔH_f (0 K) ... -0.1 kcal/mol of atoms
Energy ... -16.49 eV/f.u.

=====

2.
## SrCa3Tl4 (PBE-GGA)

Data for a relaxed structure of SrCa3Tl4.

The structure in CIF format:
```
data_SrCa3Tl4
_symmetry_space_group_name_H-M 'P 1'
_symmetry_Int_Tables_number 1
_cell_length_a 5.5208
_cell_length_b 8.0334
_cell_length_c 11.0413
_cell_angle_alpha 90.00
_cell_angle_beta 90.00
_cell_angle_gamma 90.00
loop_
_symmetry_equiv_pos_as_xyz
'x,y,z'
loop_
_atom_site_label
_atom_site_fract_x
_atom_site_fract_y
_atom_site_fract_z
Ca1 0.5008 0.0000 0.7500
Ca2 0.4993 0.5000 0.2500
Tl1 0.9992 0.2376 0.2500
Tl2 0.0008 0.7624 0.7500
Ca3 0.0000 0.0000 0.0000
Ca4 0.0000 0.0000 0.5000
Tl3 0.5000 0.2378 0.5000
Tl4 0.5000 0.7622 0.0000
Ca5 0.5007 0.5000 0.7500
Tl5 0.9992 0.7624 0.2500
Tl6 0.5000 0.7622 0.5000
Tl7 0.5000 0.2378 0.0000
Sr1 0.0000 0.5000 0.0000
Tl8 0.0008 0.2376 0.7500
Ca6 0.4992 0.0000 0.2500
Sr2 0.0000 0.5000 0.5000
```

Values from the calculation:
Theoretical density ... 7.0 g/cm3
ΔH_f (0 K) ... -10.0 kcal/mol of atoms
Energy ... -20.62 eV/f.u.

=====

3.
## Sr2Ca3Tl4 (PBE-GGA)

Data for a relaxed structure of Sr2Ca3Tl4.

The structure in CIF format:
```
data_Sr2Ca3Tl4
_symmetry_space_group_name_H-M 'P 1'
_symmetry_Int_Tables_number 1
_cell_length_a 7.3024
_cell_length_b 8.4559
_cell_length_c 10.6215
_cell_angle_alpha 90.00
_cell_angle_beta 110.11
_cell_angle_gamma 90.00
loop_
_symmetry_equiv_pos_as_xyz
'x,y,z'
loop_
_atom_site_label
_atom_site_fract_x
_atom_site_fract_y
_atom_site_fract_z
Sr1 0.0946 0.5951 0.1892
Tl1 0.6775 0.7500 0.8549
Tl2 0.3225 0.2500 0.1451
Ca1 0.9893 0.2500 0.4786
Ca2 0.0107 0.7500 0.5214
Tl3 0.3375 0.4828 0.6749
Ca3 0.4893 0.2500 0.4786
Sr2 0.9054 0.4049 0.8108
Ca4 0.5000 0.5000 0.0000
Tl4 0.6625 0.5172 0.3251
Ca5 0.0000 0.0000 0.0000
Ca6 0.5107 0.7500 0.5214
Tl5 0.8225 0.2500 0.1451
Sr3 0.4054 0.0951 0.8108
Sr4 0.5946 0.9049 0.1892
Tl6 0.8375 0.0172 0.6749
Tl7 0.1625 0.9828 0.3251
Tl8 0.1775 0.7500 0.8549
```

Values from the calculation:
Relative energy among the computed polymorphs ... 23 meV per atom
Theoretical density ... 6.0 g/cm3
ΔH_f (0 K) ... -7.9 kcal/mol of atoms
Energy ... -21.91 eV/f.u.

=====

4.
## SrCa2Tl (PBE-GGA)

Data for a relaxed structure of SrCa2Tl.

The structure in CIF format:
```
data_SrCa2Tl
_symmetry_space_group_name_H-M 'P 1'
_symmetry_Int_Tables_number 1
_cell_length_a 5.8412
_cell_length_b 5.8412
_cell_length_c 5.8412
_cell_angle_alpha 60.00
_cell_angle_beta 60.00
_cell_angle_gamma 60.00
loop_
_symmetry_equiv_pos_as_xyz
'x,y,z'
loop_
_atom_site_label
_atom_site_fract_x
_atom_site_fract_y
_atom_site_fract_z
Ca1 0.2500 0.2500 0.2500
Tl1 0.5000 0.5000 0.5000
Sr1 0.0000 0.0000 0.0000
Ca2 0.7500 0.7500 0.7500
```

Values from the calculation:
Relative energy among the computed polymorphs ... 129 meV per atom
Theoretical density ... 4.4 g/cm3
ΔH_f (0 K) ... -2.8 kcal/mol of atoms
Energy ... -8.54 eV/f.u.

=====

5.
## SrCa2Tl9 (PBE-GGA)

Data for a relaxed structure of SrCa2Tl9.

The structure in CIF format:
```
data_SrCa2Tl9
_symmetry_space_group_name_H-M 'P 1'
_symmetry_Int_Tables_number 1
_cell_length_a 4.9125
_cell_length_b 4.9125
_cell_length_c 14.6966
_cell_angle_alpha 90.00
_cell_angle_beta 90.00
_cell_angle_gamma 90.00
loop_
_symmetry_equiv_pos_as_xyz
'x,y,z'
loop_
_atom_site_label
_atom_site_fract_x
_atom_site_fract_y
_atom_site_fract_z
Ca1 0.0000 0.0000 0.3371
Tl1 0.0000 0.5000 0.1723
Tl2 0.5000 0.5000 0.3340
Tl3 0.5000 0.0000 0.8277
Tl4 0.5000 0.5000 0.0000
Tl5 0.5000 0.0000 0.5000
Tl6 0.5000 0.0000 0.1723
Tl7 0.0000 0.5000 0.8277
Tl8 0.0000 0.5000 0.5000
Tl9 0.5000 0.5000 0.6660
Ca2 0.0000 0.0000 0.6629
Sr1 0.0000 0.0000 0.0000
```

Values from the calculation:
Theoretical density ... 9.4 g/cm3
ΔH_f (0 K) ... -5.6 kcal/mol of atoms
Energy ... -29.88 eV/f.u.

=====

6.
## SrCa3Tl2 (PBE-GGA)

Data for a relaxed structure of SrCa3Tl2.

The structure in CIF format:
```
data_SrCa3Tl2
_symmetry_space_group_name_H-M 'P 1'
_symmetry_Int_Tables_number 1
_cell_length_a 5.3569
_cell_length_b 7.6643
_cell_length_c 10.0574
_cell_angle_alpha 90.00
_cell_angle_beta 90.00
_cell_angle_gamma 90.00
loop_
_symmetry_equiv_pos_as_xyz
'x,y,z'
loop_
_atom_site_label
_atom_site_fract_x
_atom_site_fract_y
_atom_site_fract_z
Ca1 0.0000 0.8409 0.6906
Ca2 0.5000 0.6590 0.1810
Ca3 0.0000 0.3409 0.3094
Ca4 0.0000 0.9688 0.0601
Tl1 0.0000 0.2610 0.6365
Tl2 0.5000 0.7385 0.8701
Ca5 0.5000 0.1590 0.8190
Tl3 0.0000 0.7610 0.3635
Sr1 0.5000 0.0317 0.4407
Tl4 0.5000 0.2385 0.1299
Sr2 0.5000 0.5317 0.5593
Ca6 0.0000 0.4688 0.9399
```

Values from the calculation:
Theoretical density ... 5.0 g/cm3
ΔH_f (0 K) ... -7.9 kcal/mol of atoms
Energy ... -14.47 eV/f.u.

=====

> Which of these has the lowest theoretical density?

Sr6Ca2Tl

=====

> Look up the energy of the second one.

-20.62 eV/f.u.

=====

> The lowest ΔH_f (0 K) belongs to which entry?

SrCa3Tl4